# 1
The following is a DFT calculation (PBE) of a geometry-optimized V2CoAgMo structure.

For the size of the total moment, the calculation gives 0.00 μB per formula unit. Its space group is No. 123. The volume is 16.378 A^3/atom. The calculation puts the total energy at -33.47 eV/cell. For the energy of formation from the pure elements, the calculation gives 107 kJ per mole of atoms.

Lattice parameters (Å, degrees): 4.2134 4.6128 4.2134 90.00 90.00 90.00
Positions (direct):
Mo  0.5000  0.5000  0.5000
Co  0.0000  0.0000  0.0000
Ag  0.0000  0.5000  0.0000
V  0.0000  0.0000  0.5000
V  0.5000  0.0000  0.0000



# 2
The following is a DFT calculation (PBE) of a geometry-optimized CoAg2N structure.

For the size of the total moment, the calculation gives 2.13 μB per formula unit. Its space group is No. 122. As for the raw formation energy: 1.498 eV per atom. The volume is 18.528 A^3/atom. The calculation puts the total energy at -30.29 eV/cell.

Lattice parameters (Å, degrees): 4.8215 4.8215 7.2303 70.52 70.52 90.00
Positions (direct):
Co  0.0000  0.0000  0.0000
Co  0.7500  0.2500  0.5000
Ag  0.5128  0.1250  0.2500
Ag  0.2372  0.6250  0.2500
Ag  0.3750  0.4872  0.7500
Ag  0.8750  0.7628  0.7500
N  0.5000  0.5000  0.0000
N  0.2500  0.7500  0.5000



# 3
The following is a DFT calculation (PBE) of a geometry-optimized CoAgN2 structure.

For the size of the total moment, the calculation gives 1.36 μB per formula unit. Its space group is No. 166. As for the raw formation energy: 1.360 eV per atom. The volume is 12.786 A^3/atom. The calculation puts the total energy at -21.17 eV/cell. The excess energy over the best structure of this formula in the dataset comes out at 656.2 meV per atom.

Lattice parameters (Å, degrees): 6.1556 6.1556 6.1556 29.84 29.84 29.84
Positions (direct):
Co  0.0000  0.0000  0.0000
Ag  0.5000  0.5000  0.5000
N  0.9016  0.9016  0.9016
N  0.0984  0.0984  0.0984



# 4
The following is a DFT calculation (PBE) of a geometry-optimized CoAgN2 structure.

For the size of the total moment, the calculation gives 1.26 μB per formula unit. Its space group is No. 225. As for the raw formation energy: 1.644 eV per atom. The volume is 10.054 A^3/atom. The calculation puts the total energy at -20.03 eV/cell. The excess energy over the best structure of this formula in the dataset comes out at 939.8 meV per atom.

Lattice parameters (Å, degrees): 3.8457 3.8457 3.8457 60.00 60.00 60.00
Positions (direct):
Co  0.0000  0.0000  0.0000
Ag  0.5000  0.5000  0.5000
N  0.2500  0.2500  0.2500
N  0.7500  0.7500  0.7500